Run a
{
  "formula": "CrSbCl",
  "functional": "PBE",
  "state": "optimized geometry",
  "lattice_angstrom": [[-0.745, 0.245, 3.133], [-2.294, -0.726, -2.154], [1.445, -7.268, 0.912]],
  "species": ["Sb", "Cl", "Cr"],
  "fractional_positions": [[0.333, 0.667, 0.573], [0.000, 0.000, 0.121], [0.667, 0.333, 0.305]],
  "magmom_total_mub_per_fu": 0.00
}

Run b
{
  "formula": "CrSbCl",
  "functional": "PBE",
  "state": "optimized geometry",
  "lattice_angstrom": [[7.527, 0.072, 0.000], [6.131, 4.367, 0.000], [-6.829, -2.220, 2.258]],
  "species": ["Sb", "Cl", "Cr"],
  "fractional_positions": [[0.710, 0.710, 0.000], [0.946, 0.946, 0.000], [0.344, 0.344, 0.000]],
  "magmom_total_mub_per_fu": 3.79
}

Top of the stability list: run b, leading by 3.7 kJ/mol of atoms.

Run a
{
  "formula": "CrSbCl",
  "functional": "PBE",
  "state": "optimized geometry",
  "lattice_angstrom": [[7.831, 0.088, -0.072], [6.966, 3.198, -0.056], [0.865, -0.608, 3.050]],
  "species": ["Sb", "Cl", "Cr"],
  "fractional_positions": [[0.708, 0.708, 0.292], [0.947, 0.947, 0.053], [0.345, 0.345, 0.655]],
  "magmom_total_mub_per_fu": 3.87
}

Run b
{
  "formula": "CrSbCl",
  "functional": "PBE",
  "state": "optimized geometry",
  "lattice_angstrom": [[4.760, 0.000, 0.000], [2.380, 4.122, 0.000], [2.380, 1.374, 3.886]],
  "species": ["Sb", "Cl", "Cr"],
  "fractional_positions": [[0.500, 0.500, 0.500], [0.750, 0.750, 0.750], [0.000, 0.000, 0.000]],
  "magmom_total_mub_per_fu": 3.99
}

Run c
{
  "formula": "CrSbCl",
  "functional": "PBE",
  "state": "optimized geometry",
  "lattice_angstrom": [[4.586, 0.000, 0.000], [2.293, 3.972, 0.000], [2.293, 1.324, 3.745]],
  "species": ["Sb", "Cl", "Cr"],
  "fractional_positions": [[0.000, 0.000, 0.000], [0.500, 0.500, 0.500], [0.750, 0.750, 0.750]],
  "magmom_total_mub_per_fu": 2.40
}

Top of the stability list: run a, leading by 32.7 kJ/mol of atoms.

Run a
{
  "formula": "CrSb3Cl",
  "functional": "PBE",
  "state": "optimized geometry",
  "lattice_angstrom": [[-2.641, -0.748, -4.509], [-4.321, -1.289, 2.745], [-1.490, 5.065, 0.033]],
  "species": ["Sb", "Sb", "Sb", "Cl", "Cr"],
  "fractional_positions": [[0.000, 0.500, 0.000], [0.000, 0.000, 0.500], [0.500, 0.000, 0.000], [0.000, 0.000, 0.000], [0.500, 0.500, 0.500]],
  "magmom_total_mub_per_fu": 3.44
}

Run b
{
  "formula": "CrSb3Cl",
  "functional": "PBE",
  "state": "optimized geometry",
  "lattice_angstrom": [[-4.118, 2.852, -0.067], [-2.742, -3.990, -1.287], [-0.786, -1.021, 4.841]],
  "species": ["Sb", "Sb", "Sb", "Cl", "Cr"],
  "fractional_positions": [[0.000, 0.500, 0.000], [0.000, 0.000, 0.500], [0.500, 0.000, 0.000], [0.500, 0.500, 0.500], [0.000, 0.000, 0.000]],
  "magmom_total_mub_per_fu": 0.00
}

Top of the stability list: run b, leading by 81.5 kJ/mol of atoms.

Run a
{
  "formula": "Cr3SbCl",
  "functional": "PBE",
  "state": "optimized geometry",
  "lattice_angstrom": [[-4.325, 2.927, -0.784], [0.484, -0.681, -5.214], [-2.991, -4.342, 0.289]],
  "species": ["Sb", "Cl", "Cr", "Cr", "Cr"],
  "fractional_positions": [[0.000, 0.000, 0.000], [0.500, 0.500, 0.500], [0.000, 0.500, 0.000], [0.000, 0.000, 0.500], [0.500, 0.000, 0.000]],
  "magmom_total_mub_per_fu": 14.00
}

Run b
{
  "formula": "Cr3SbCl",
  "functional": "PBE",
  "state": "optimized geometry",
  "lattice_angstrom": [[-3.105, -2.174, -1.901], [2.832, -1.741, -2.632], [0.569, -3.197, 2.727]],
  "species": ["Sb", "Cl", "Cr", "Cr", "Cr"],
  "fractional_positions": [[0.500, 0.500, 0.500], [0.000, 0.000, 0.000], [0.000, 0.500, 0.000], [0.000, 0.000, 0.500], [0.500, 0.000, 0.000]],
  "magmom_total_mub_per_fu": 3.18
}

Top of the stability list: run b, leading by 7.1 kJ/mol of atoms.

Run a
{
  "formula": "CrSb2TeCl",
  "functional": "PBE",
  "state": "optimized geometry",
  "lattice_angstrom": [[5.081, 0.000, 0.000], [0.000, 5.081, 0.000], [0.000, 0.000, 4.994]],
  "species": ["Sb", "Sb", "Te", "Cl", "Cr"],
  "fractional_positions": [[0.000, 0.500, 0.000], [0.500, 0.000, 0.000], [0.000, 0.000, 0.500], [0.500, 0.500, 0.500], [0.000, 0.000, 0.000]],
  "magmom_total_mub_per_fu": 0.55
}

Run b
{
  "formula": "CrSb2TeCl",
  "functional": "PBE",
  "state": "optimized geometry",
  "lattice_angstrom": [[-4.157, -3.102, -0.103], [0.943, -1.098, -4.982], [3.078, -4.175, 1.502]],
  "species": ["Sb", "Sb", "Te", "Cl", "Cr"],
  "fractional_positions": [[0.000, 0.500, 0.000], [0.500, 0.000, 0.000], [0.000, 0.000, 0.500], [0.000, 0.000, 0.000], [0.500, 0.500, 0.500]],
  "magmom_total_mub_per_fu": 0.33
}

Top of the stability list: run a, leading by 119.2 kJ/mol of atoms.

Run a
{
  "formula": "Sc2CrCl",
  "functional": "PBE",
  "state": "optimized geometry",
  "lattice_angstrom": [[-2.035, 1.505, -1.930], [0.979, -1.799, -2.436], [-6.399, -6.138, 1.962]],
  "species": ["Cl", "Cr", "Sc", "Sc"],
  "fractional_positions": [[0.000, 0.000, 0.440], [0.500, 0.500, 0.790], [0.000, 0.000, 0.000], [0.500, 0.500, 0.270]],
  "magmom_total_mub_per_fu": 3.99
}

Run b
{
  "formula": "Sc2CrCl",
  "functional": "PBE",
  "state": "optimized geometry",
  "lattice_angstrom": [[7.328, 0.000, 0.000], [0.000, 7.328, 0.000], [3.664, 3.664, 3.179]],
  "species": ["Sc", "Sc", "Sc", "Sc", "Cr", "Cr", "Cl", "Cl"],
  "fractional_positions": [[0.582, 0.125, 0.250], [0.168, 0.625, 0.250], [0.375, 0.418, 0.750], [0.875, 0.832, 0.750], [0.000, 0.000, 0.000], [0.750, 0.250, 0.500], [0.500, 0.500, 0.000], [0.250, 0.750, 0.500]],
  "magmom_total_mub_per_fu": 3.00
}

Run c
{
  "formula": "Sc2CrCl",
  "functional": "PBE",
  "state": "optimized geometry",
  "lattice_angstrom": [[-0.843, 5.014, -0.897], [-1.196, 1.978, 4.617], [4.066, -2.889, -1.331]],
  "species": ["Cl", "Cr", "Sc", "Sc"],
  "fractional_positions": [[0.250, 0.750, 0.500], [0.750, 0.250, 0.500], [0.000, 0.000, 0.000], [0.500, 0.500, 0.000]],
  "magmom_total_mub_per_fu": 3.28
}

Run d
{
  "formula": "Sc2CrCl",
  "functional": "PBE",
  "state": "optimized geometry",
  "lattice_angstrom": [[-0.150, -4.880, -0.137], [0.071, -2.563, 4.157], [-4.010, -2.363, 1.481]],
  "species": ["Cl", "Cr", "Sc", "Sc"],
  "fractional_positions": [[0.500, 0.500, 0.500], [0.250, 0.250, 0.250], [0.000, 0.000, 0.000], [0.750, 0.750, 0.750]],
  "magmom_total_mub_per_fu": 1.87
}

Top of the stability list: run a, leading by 15.3 kJ/mol of atoms.